Compound: Mo2OsW
Source: Alexandria
Functional: PBE
Structure: optimized geometry

abc: 5.2072 5.2072 5.2072
angles: 144.81 129.11 63.38
Element x y z (fractional)
Mo 0.0000 0.0000 0.0000
Mo 0.7551 0.2551 0.5000
Os 0.2618 0.7618 0.5000
W 0.5156 0.5156 0.0000

## Properties
space group = Imm2 (44)
spin magnetization = 0.00 μB/f.u.
V = 62.4 Å³/cell
E_tot = -11.33 eV/atom
formation enthalpy at 0 K = 0.52 eV/f.u.
DOS at the Fermi energy = 3.43 states/eV/cell


Compound: Mo2OsW
Source: Alexandria
Functional: PBE
Structure: optimized geometry

abc: 2.7338 2.7338 8.8869
angles: 90.00 90.00 109.82
Element x y z (fractional)
Mo 0.0000 0.0000 0.2471
Mo 0.0000 0.0000 0.7529
Os 0.5000 0.5000 0.0000
W 0.5000 0.5000 0.5000

## Properties
space group = Cmmm (65)
spin magnetization = 0.00 μB/f.u.
V = 62.5 Å³/cell
E_tot = -11.29 eV/atom
formation enthalpy at 0 K = 0.70 eV/f.u.
DOS at the Fermi energy = 5.00 states/eV/cell